Entry 1:
Material: Tb4Pr3Y5
Method: DFT, PBE
State: relaxed

Its formation energy is 0.2290 eV per atom. The density of states at the Fermi level is 38.455 states/eV/cell. For the spin magnetization, the calculation gives 0.19 μB/f.u. The volume comes out at 33.79 Å³ per atom.

It has space group C2/m (No. 12), with a = 16.1844 Å, b = 5.9784 Å, c = 9.3401 Å, α = 90.00°, β = 116.20° and γ = 90.00°. Symmetry generates all atoms from Tb at (0.0820, 0.0000, 0.4424), Tb at (0.2097, 0.0000, 0.8771), Pr at (0.0000, 0.5000, 0.0000), Pr at (0.2084, 0.0000, 0.2293), Y at (0.0000, 0.0000, 0.0000), Y at (0.0739, 0.5000, 0.6990) and Y at (0.1718, 0.5000, 0.3888).



Entry 2:
Material: Hf2MgHgH
Method: DFT, PBE
State: relaxed

Its total DFT energy (no corrections) is -4.21 eV/atom. The density of states at the Fermi level is 4.011 states/eV/cell. For the spin magnetization, the calculation gives 0.00 μB/f.u. The volume comes out at 21.39 Å³ per atom.

It has space group P4/mmm (No. 123), with a = 5.6230 Å, b = 5.6230 Å, c = 3.3822 Å, α = 90.00°, β = 90.00° and γ = 90.00°. Symmetry generates all atoms from Hf at (0.0000, 0.5000, 0.0000), Mg at (0.0000, 0.0000, 0.5000), Hg at (0.5000, 0.5000, 0.0000) and H at (0.5000, 0.5000, 0.5000).



Entry 3:
Material: LiSi2Se
Method: DFT, PBE
State: relaxed

The density of states at the Fermi level is 2.313 states/eV/cell. Its uncorrected formation energy is 0.173 eV per atom. For the spin magnetization, the calculation gives 0.00 μB/f.u. The volume comes out at 17.31 Å³ per atom.

It has space group Cmmm (No. 65), with a = 5.2602 Å, b = 7.8007 Å, c = 3.3755 Å, α = 90.00°, β = 90.00° and γ = 90.00°. Symmetry generates all atoms from Li at (0.0000, 0.0000, 0.0000), Si at (0.2500, 0.2500, 0.5000) and Se at (0.0000, 0.5000, 0.0000).



Entry 4:
Material: Pr3Ge4Ir2
Method: DFT, PBE
State: relaxed

Its formation energy is -0.8018 eV per atom. The density of states at the Fermi level is 8.345 states/eV/cell. For the spin magnetization, the calculation gives 0.00 μB/f.u. The volume comes out at 21.91 Å³ per atom.

It has space group C2/m (No. 12), with a = 11.3572 Å, b = 4.3543 Å, c = 8.4465 Å, α = 90.00°, β = 109.27° and γ = 90.00°. Symmetry generates all atoms from Pr at (0.0000, 0.0000, 0.0000), Pr at (0.1180, 0.5000, 0.6962), Ge at (0.0991, 0.0000, 0.3961), Ge at (0.2109, 0.5000, 0.0779) and Ir at (0.1938, 0.5000, 0.3665).